[1]
This record from the Alexandria database describes a relaxed Ti2Mo2Br crystal. The functional is PBE.

## Properties
Final energy in eV/atom: -7.3812
Formation energy (no corrections) in eV/atom: 0.444

Cell lengths 7.700, 7.700, 3.181 Å; angles 90.00, 90.00, 90.00 degrees
Space group P4/mbm (No. 127)
Symmetry-distinct sites (fractional):
Ti  0.186  0.314  0.000 x4
Mo  0.103  0.603  0.500 x4
Br  0.000  0.000  0.000 x2

---

[2]
This record from the Alexandria database describes a relaxed CuAsW2Se crystal. The functional is PBE.

## Properties
Final energy in eV/atom: -6.2178
Formation energy (no corrections) in eV/atom: 1.410

Cell lengths 4.750, 4.750, 4.283 Å; angles 90.00, 90.00, 90.00 degrees
Space group P4/mmm (No. 123)
Symmetry-distinct sites (fractional):
Cu  0.000  0.000  0.000 x1
As  0.000  0.000  0.500 x1
W  0.000  0.500  0.500 x2
Se  0.500  0.500  0.000 x1

---

Question: What is the formation energy (no corrections) in the second record?
Answer: 1.410 eV/atom